<1>
Crystalline Ac3Mg3Hg2 at its relaxed geometry. Source: the Alexandria database, functional GGA-PBE.

```
data_Ac3Mg3Hg2
_space_group_name_H-M_alt 'C m c m'
_space_group_IT_number 63
_space_group_name_Hall '-C 2c 2'
_cell_length_a 5.076
_cell_length_b 11.662
_cell_length_c 16.910
_cell_angle_alpha 90.00
_cell_angle_beta 90.00
_cell_angle_gamma 90.00
loop_
_atom_site_label
_atom_site_fract_x
_atom_site_fract_y
_atom_site_fract_z
Ac1 0.000 0.090 0.113
Ac2 0.000 0.379 0.250
Mg1 0.000 0.327 0.750
Mg2 0.000 0.374 0.033
Hg1 0.000 0.202 0.602
```

Results
- Calculated volume: 250.26 Å³/f.u.
- Spin magnetization: 0.00 μB/atom
- Crystal system: orthorhombic

=====

<2>
Crystalline Ac3Mg3Hg2 at its relaxed geometry. Source: the Alexandria database, functional GGA-PBE.

```
data_Ac3Mg3Hg2
_space_group_name_H-M_alt 'P n m a'
_space_group_IT_number 62
_space_group_name_Hall '-P 2ac 2n'
_cell_length_a 9.273
_cell_length_b 17.364
_cell_length_c 6.262
_cell_angle_alpha 90.00
_cell_angle_beta 90.00
_cell_angle_gamma 90.00
loop_
_atom_site_label
_atom_site_fract_x
_atom_site_fract_y
_atom_site_fract_z
Ac1 0.041 0.113 0.111
Ac2 0.177 0.250 0.613
Mg1 0.171 0.750 0.611
Mg2 0.181 0.033 0.605
Hg1 0.108 0.609 0.377
```

Results
- Calculated volume: 252.05 Å³/f.u.
- Spin magnetization: 0.00 μB/atom
- Crystal system: orthorhombic

=====

<1> comes first in stability; the runner-up is 11 meV per atom higher.

=====

<1>
Crystalline AcMg2Hg3 at its relaxed geometry. Source: the Alexandria database, functional GGA-PBE.

```
data_AcMg2Hg3
_space_group_name_H-M_alt 'C m c m'
_space_group_IT_number 63
_space_group_name_Hall '-C 2c 2'
_cell_length_a 10.970
_cell_length_b 9.034
_cell_length_c 6.327
_cell_angle_alpha 90.00
_cell_angle_beta 90.00
_cell_angle_gamma 90.00
loop_
_atom_site_label
_atom_site_fract_x
_atom_site_fract_y
_atom_site_fract_z
Ac1 0.000 0.167 0.250
Mg1 0.214 0.500 0.000
Hg1 0.000 0.466 0.750
Hg2 0.154 0.200 0.750
```

Results
- Calculated volume: 156.74 Å³/f.u.
- Spin magnetization: 0.00 μB/atom
- Crystal system: orthorhombic

=====

<2>
Crystalline AcMg2Hg3 at its relaxed geometry. Source: the Alexandria database, functional GGA-PBE.

```
data_AcMg2Hg3
_space_group_name_H-M_alt 'P 63/m m c'
_space_group_IT_number 194
_space_group_name_Hall '-P 6c 2c'
_cell_length_a 4.8238
_cell_length_b 4.8238
_cell_length_c 15.6174
_cell_angle_alpha 90.00
_cell_angle_beta 90.00
_cell_angle_gamma 120.00
loop_
_atom_site_label
_atom_site_fract_x
_atom_site_fract_y
_atom_site_fract_z
Ac1 0.0000 0.0000 0.2500
Mg1 0.3333 0.6667 0.0708
Hg1 0.0000 0.0000 0.0000
Hg2 0.3333 0.6667 0.6292
```

Results
- Calculated volume: 157.36 Å³/f.u.
- Spin magnetization: 0.00 μB/atom
- Crystal system: hexagonal

=====

<2> comes first in stability; the runner-up is 33 meV per atom higher.